A plane-wave DFT calculation with GGA+U was carried out for an optimized crystal structure of LiVOF3.

a b c (Å): 7.6943 4.9409 7.3967
angles (deg): 90.00 102.79 90.00
Space group P2_1/c (No. 14)
Inequivalent atoms, fractional coordinates:
Li (0.1293, 0.2468, 0.3597)
V (0.3295, 0.7353, 0.2028)
O (0.4587, 0.0333, 0.7946)
F (0.0993, 0.5671, 0.1975)
F (0.1950, 0.0471, 0.0934)
F (0.3047, 0.5937, 0.9417)

Values from the calculation:
The calculation puts the excess energy over the best structure of this formula in the dataset at 0.06 eV/f.u. As for the total magnetic moment: 4.0 μB/cell. The electronic total energy comes out at -35.8 eV per formula unit.